{"formula": "Tb4TlCo2", "functional": "GGA-PBE", "state": "optimized geometry", "formation_enthalpy_0k_kj_per_mol_atoms": -13, "dos_ef_per_ev_atom": 0.845, "spacegroup": "P1, No. 1", "lattice_angstrom": [[6.943, 0.000, 0.000], [-0.504, 7.176, 0.000], [-1.455, -1.339, 7.020]], "species": ["Tb", "Tb", "Tb", "Tb", "Tb", "Tb", "Tb", "Tb", "Tl", "Tl", "Co", "Co", "Co", "Co"], "fractional_positions": [[0.000, 0.000, 0.000], [0.023, 0.382, 0.382], [0.399, 0.396, 0.042], [0.475, 0.094, 0.643], [0.534, 0.896, 0.101], [0.569, 0.571, 0.514], [0.883, 0.472, 0.901], [0.912, 0.968, 0.489], [0.194, 0.747, 0.278], [0.204, 0.712, 0.732], [0.290, 0.135, 0.303], [0.633, 0.237, 0.341], [0.713, 0.218, 0.036], [0.763, 0.619, 0.227]]}

***

{"formula": "CuOsBr", "functional": "GGA-PBE", "state": "optimized geometry", "dos_ef_per_ev_atom": 1.054, "de_polymorph_mev_per_atom": 259, "spacegroup": "P-6m2, No. 187", "raw_formation_energy_ev_per_atom": 1.177, "lattice_angstrom": [[4.430, 0.000, 0.000], [-2.215, 3.836, 0.000], [0.000, 0.000, 2.818]], "species": ["Cu", "Os", "Br"], "fractional_positions": [[0.000, 0.000, 0.000], [0.667, 0.333, 0.500], [0.333, 0.667, 0.500]]}